Model 1:
The following is a PBE calculation of a geometry-optimized Re2AgPt structure, from Alexandria via LeMat-Bulk.

Cell lengths 4.4636, 4.4636, 4.4636 Å; angles 60.00, 60.00, 60.00 degrees
Last column: nearest neighbours and their distance in Å.
Fractional coordinates of all 4 atoms:
Pt1 0.5000 0.5000 0.5000  8 Re 2.73
Ag1 0.0000 0.0000 0.0000  8 Re 2.73
Re1 0.2500 0.2500 0.2500  4 Pt 2.73, 4 Ag 2.73
Re2 0.7500 0.7500 0.7500  4 Ag 2.73, 4 Pt 2.73

Values from the calculation:
Fermi-level density of states = 1.555 states/eV/atom
M_tot = 0.000 μB per atom

Model 2:
The following is a PBE calculation of a geometry-optimized Re2AgPt structure, from Alexandria via LeMat-Bulk.

Cell lengths 9.5102, 9.5102, 9.5102 Å; angles 16.84, 16.84, 16.84 degrees
Last column: nearest neighbours and their distance in Å.
Fractional coordinates of all 4 atoms:
Pt1 0.7466 0.7466 0.7466  6 Pt 2.79, 3 Re 2.83, 3 Ag 2.92
Ag1 0.5002 0.5002 0.5002  6 Ag 2.79, 3 Pt 2.92, 3 Re 2.97
Re1 0.9973 0.9973 0.9973  9 Re 2.65-2.79, 3 Pt 2.83
Re2 0.2557 0.2557 0.2557  9 Re 2.65-2.79

Values from the calculation:
Fermi-level density of states = 0.966 states/eV/atom
M_tot = 0.000 μB per atom

Which of them is the least stable? Correct choice: model 1.

Model 1:
The following is a PBE calculation of a geometry-optimized Re2AgPt structure, from Alexandria via LeMat-Bulk.

Cell lengths 4.8661, 4.8661, 5.0162 Å; angles 82.27, 82.27, 32.00 degrees
Last column: nearest neighbours and their distance in Å.
Fractional coordinates of all 4 atoms:
Pt1 0.2572 0.2572 0.2552  2 Pt 2.68, 3 Ag 2.72-2.84, 7 Re 2.76-3.00
Re1 0.7487 0.7487 0.7705  5 Re 2.64-2.83, 4 Pt 2.79-2.90, 3 Ag 2.86-2.91
Re2 0.9914 0.9914 0.9845  5 Re 2.64-2.83, 2 Pt 2.76, 4 Ag 2.81-2.88
Ag1 0.5027 0.5027 0.4898  2 Ag 2.68, 3 Pt 2.72-2.84, 7 Re 2.81-2.91

Values from the calculation:
Fermi-level density of states = 0.771 states/eV/atom
M_tot = 0.000 μB per atom

Model 2:
The following is a PBE calculation of a geometry-optimized Re2AgPt structure, from Alexandria via LeMat-Bulk.

Cell lengths 2.7286, 2.7286, 9.5707 Å; angles 90.00, 90.00, 116.18 degrees
Last column: nearest neighbours and their distance in Å.
Fractional coordinates of all 4 atoms:
Ag1 0.0000 0.0000 0.4996  6 Ag 2.73-2.88, 2 Pt 2.87, 2 Re 2.92
Pt1 0.5000 0.5000 0.7585  6 Pt 2.73-2.88, 2 Re 2.78, 2 Ag 2.87
Re1 0.5000 0.5000 0.2348  8 Re 2.61-2.88, 2 Ag 2.92
Re2 0.0000 0.0000 0.0070  8 Re 2.61-2.88, 2 Pt 2.78

Values from the calculation:
Fermi-level density of states = 0.697 states/eV/atom
M_tot = 0.000 μB per atom

Model 3:
The following is a PBE calculation of a geometry-optimized Re2AgPt structure, from Alexandria via LeMat-Bulk.

Cell lengths 3.8246, 3.8302, 4.2442 Å; angles 90.00, 90.00, 90.00 degrees
Last column: nearest neighbours and their distance in Å.
Fractional coordinates of all 4 atoms:
Pt1 0.0000 0.5000 0.5000  4 Ag 2.71, 8 Re 2.86
Ag1 0.5000 0.0000 0.5000  4 Pt 2.71, 8 Re 2.86
Re1 0.0000 0.0000 0.0000  4 Re 2.71, 4 Ag 2.86, 4 Pt 2.86
Re2 0.5000 0.5000 0.0000  4 Re 2.71, 4 Pt 2.86, 4 Ag 2.86

Values from the calculation:
Fermi-level density of states = 0.853 states/eV/atom
M_tot = 0.000 μB per atom

Which of them is the least stable? Correct choice: model 3.